# 1
The following is a PBE-GGA calculation of BaLa2As after structural relaxation, from the Alexandria database.

Its density of states at the Fermi level is 1.194 states/eV per atom. Its total magnetization is 0.0 μB per cell. As for the space group: I-4m2. Its final energy is -4.410 eV per atom. The calculation puts the calculated formation energy at -1.2 eV per formula unit.

Unit cell a=6.3973 b=6.3973 c=6.3973 alpha=135.67 beta=135.67 gamma=64.50
Fractional positions:
Ba 0.0000 0.0000 0.0000
La 0.2500 0.7500 0.5000
La 0.5000 0.5000 0.0000
As 0.7500 0.2500 0.5000

# 2
The following is a PBE-GGA calculation of BaLa2As after structural relaxation, from the Alexandria database.

Its density of states at the Fermi level is 0.685 states/eV per atom. Its total magnetization is 0.8 μB per cell. As for the space group: R3m. Its final energy is -4.615 eV per atom. The calculation puts the calculated formation energy at -2.0 eV per formula unit.

Unit cell a=10.8333 b=10.8333 c=10.8333 alpha=22.51 beta=22.51 gamma=22.51
Fractional positions:
Ba 0.0000 0.0000 0.0000
La 0.2137 0.2137 0.2137
La 0.4528 0.4528 0.4528
As 0.7326 0.7326 0.7326

# 3
The following is a PBE-GGA calculation of BaLa2As after structural relaxation, from the Alexandria database.

Its density of states at the Fermi level is 1.495 states/eV per atom. Its total magnetization is 0.9 μB per cell. As for the space group: P2/m. Its final energy is -4.596 eV per atom. The calculation puts the calculated formation energy at -2.0 eV per formula unit.

Unit cell a=6.6856 b=4.0631 c=7.0183 alpha=90.00 beta=118.34 gamma=90.00
Fractional positions:
Ba 0.0000 0.0000 0.0000
La 0.3275 0.5000 0.6563
La 0.6725 0.5000 0.3437
As 0.5000 0.0000 0.0000

# 4
The following is a PBE-GGA calculation of BaLaAs4 after structural relaxation, from the Alexandria database.

Its density of states at the Fermi level is 0.540 states/eV per atom. Its total magnetization is 0.0 μB per cell. As for the space group: F-43m. Its final energy is -4.781 eV per atom. The calculation puts the calculated formation energy at -3.2 eV per formula unit.

Unit cell a=5.9323 b=5.9323 c=5.9323 alpha=60.00 beta=60.00 gamma=60.00
Fractional positions:
Ba 0.0000 0.0000 0.0000
La 0.7500 0.7500 0.7500
As 0.3762 0.3762 0.3762
As 0.3762 0.3762 0.8714
As 0.3762 0.8714 0.3762
As 0.8714 0.3762 0.3762